Entry 1:
Density functional theory data (PBE) for an optimized crystal structure of La2PrP2N6.

density	5.65	g/cm³
crystal system	monoclinic
energy	-0.2893	Ha/atom
symmetry	C2/m
ΔE_f (raw)	-1.0173	eV/atom

a b c (Å): 5.609 5.694 6.875
angles (deg): 115.52 90.00 119.51
Element x y z (fractional)
N: 0.813 0.113 0.831
N: 0.701 0.887 0.169
N: 0.187 0.887 0.169
N: 0.299 0.113 0.831
N: 0.224 0.447 0.370
N: 0.776 0.553 0.630
P: 0.040 0.080 0.256
P: 0.960 0.920 0.744
La: 0.703 0.407 0.178
La: 0.297 0.593 0.822
Pr: 0.500 0.000 0.500

Entry 2:
Density functional theory data (PBE) for an optimized crystal structure of LaPrPN.

density	5.42	g/cm³
crystal system	hexagonal
energy	-0.2607	Ha/atom
symmetry	P6_3mc
ΔE_f (raw)	-1.2326	eV/atom

a b c (Å): 4.119 4.119 13.543
angles (deg): 90.00 90.00 120.00
Element x y z (fractional)
Pr: 0.333 0.667 0.912
Pr: 0.667 0.333 0.412
N: 0.000 0.000 0.483
N: 0.000 0.000 0.983
La: 0.000 0.000 0.151
La: 0.000 0.000 0.651
P: 0.333 0.667 0.266
P: 0.667 0.333 0.766

Entry 3:
Density functional theory data (PBE) for an optimized crystal structure of LaPu2PN5.

density	10.32	g/cm³
crystal system	tetragonal
energy	-0.3726	Ha/atom
symmetry	I4/mcm
ΔE_f (raw)	-1.1799	eV/atom

a b c (Å): 6.575 6.575 7.139
angles (deg): 117.42 117.42 90.00
Last column: magnetic moment on the atom in μB.
Element x y z (fractional)
N: 0.986 0.486 0.698  -0.10
N: 0.787 0.014 0.302  -0.10
N: 0.287 0.787 0.302  -0.10
N: 0.000 0.000 0.000  -0.23
N: 0.713 0.213 0.698  -0.10
N: 0.014 0.514 0.302  -0.10
N: 0.486 0.713 0.698  -0.10
N: 0.213 0.986 0.698  -0.10
N: 0.500 0.500 0.000  -0.23
N: 0.514 0.287 0.302  -0.10
Pu: 0.682 0.182 0.000  4.68
Pu: 0.182 0.318 0.000  4.68
Pu: 0.318 0.818 0.000  4.68
Pu: 0.818 0.682 0.000  4.68
La: 0.250 0.250 0.500  0.05
La: 0.750 0.750 0.500  0.05
P: 0.250 0.750 0.500  0.01
P: 0.750 0.250 0.500  0.01

Entry 4:
Density functional theory data (PBE) for an optimized crystal structure of LaPuPN.

density	8.78	g/cm³
crystal system	trigonal
energy	-0.3476	Ha/atom
symmetry	R3m
ΔE_f (raw)	-1.2114	eV/atom

a b c (Å): 3.817 3.817 6.782
angles (deg): 73.66 73.66 60.00
Last column: magnetic moment on the atom in μB.
Element x y z (fractional)
Pu: 0.988 0.988 0.037  4.78
La: 0.509 0.509 0.472  0.10
N: 0.261 0.261 0.217  -0.17
P: 0.742 0.742 0.774  -0.12